Record 1
Compound: RePW4
Source: Alexandria
Functional: GGA-PBE
Structure: relaxed

Its space group is F-43m (216). Its total energy is -64.404 eV for the cell shown. The value obtained for the density of states at the Fermi level is 1.041 states/eV per atom. The value obtained for the calculated formation energy is 5.27 eV per formula unit. The theoretical density comes out at 15718 kg/m³. The crystal system is cubic.

Geometry as extended XYZ:
```
6
Lattice="0.000 3.692 3.692 3.692 0.000 3.692 3.692 3.692 0.000" Properties=species:S:1:pos:R:3 pbc="T T T"
Re 0.000 0.000 0.000
P 1.846 1.846 1.846
W 4.610 2.774 2.774
W 2.774 4.610 2.774
W 2.774 2.774 4.610
W 4.610 4.610 4.610
```


Record 2
Compound: KY2Cl
Source: Alexandria
Functional: GGA-PBE
Structure: relaxed

Its space group is Pmmm (47). Its total energy is -15.655 eV for the cell shown. The value obtained for the density of states at the Fermi level is 1.105 states/eV per atom. The value obtained for the energy above the most stable polymorph in this dataset is 67.6 kJ/mol of atoms. The formation energy from raw total energies is 54 meV per atom. The theoretical density comes out at 2898 kg/m³. The crystal system is orthorhombic.

Geometry as extended XYZ:
```
4
Lattice="3.450 0.000 0.000 0.000 6.342 0.000 0.000 0.000 6.608" Properties=species:S:1:pos:R:3 pbc="T T T"
K 0.000 0.000 0.000
Y 1.725 1.564 3.304
Y 1.725 4.779 3.304
Cl 0.000 3.171 0.000
```


Record 3
Compound: La2ScAlRe
Source: Alexandria
Functional: GGA-PBE
Structure: relaxed

Its space group is P4/mmm (123). Its total energy is -26.239 eV for the cell shown. The value obtained for the density of states at the Fermi level is 1.779 states/eV per atom. The value obtained for the calculated formation energy is 6.14 eV per formula unit. The theoretical density comes out at 5797 kg/m³. The crystal system is tetragonal.

Geometry as extended XYZ:
```
5
Lattice="5.547 0.000 0.000 0.000 5.547 0.000 0.000 0.000 4.990" Properties=species:S:1:pos:R:3 pbc="T T T"
La 0.000 2.773 0.000
La 2.773 0.000 0.000
Sc 0.000 0.000 2.495
Al 0.000 0.000 0.000
Re 2.773 2.773 2.495
```


Record 4
Compound: Be3AsRu
Source: Alexandria
Functional: GGA-PBE
Structure: relaxed

Its space group is Pm-3m (221). Its total energy is -21.470 eV for the cell shown. The value obtained for the density of states at the Fermi level is 0.862 states/eV per atom. The value obtained for the energy above the most stable polymorph in this dataset is 0.0 kJ/mol of atoms. The value obtained for the calculated formation energy is 3.63 eV per formula unit. The theoretical density comes out at 4598 kg/m³. The crystal system is cubic.

Geometry as extended XYZ:
```
5
Lattice="4.186 0.000 0.000 0.000 4.186 0.000 0.000 0.000 4.186" Properties=species:S:1:pos:R:3 pbc="T T T"
Be 0.000 0.000 2.093
Be 0.000 2.093 0.000
Be 2.093 0.000 0.000
As 2.093 2.093 2.093
Ru 0.000 0.000 0.000
```


Record 5
Compound: LaNd2Ho5Er
Source: Alexandria
Functional: GGA-PBE
Structure: relaxed

Its space group is I4/mcm (140). Its total energy is -79.104 eV for the cell shown. The value obtained for the density of states at the Fermi level is 1.146 states/eV per atom. The value obtained for the calculated formation energy is 2.36 eV per formula unit. The theoretical density comes out at 7933 kg/m³. The crystal system is tetragonal.

Geometry as extended XYZ:
```
18
Lattice="-4.375 4.375 7.761 4.375 -4.375 7.761 4.375 4.375 -7.761" Properties=species:S:1:pos:R:3 pbc="T T T"
La 0.000 0.000 3.880
La 0.000 0.000 11.641
Nd 5.400 1.024 0.000
Nd 1.024 3.351 0.000
Nd 3.351 1.024 7.761
Nd -1.024 3.351 7.761
Ho 0.000 0.000 0.000
Ho 2.542 1.833 -2.125
Ho 2.542 -1.833 5.636
Ho 2.542 1.833 2.125
Ho 2.542 -1.833 9.885
Ho 0.000 0.000 7.761
Ho 1.833 6.208 -2.125
Ho 1.833 2.542 5.636
Ho 1.833 6.208 2.125
Ho 1.833 2.542 9.885
Er 4.375 0.000 3.880
Er 0.000 4.375 3.880
```


Record 6
Compound: CrAsPd2
Source: Alexandria
Functional: GGA-PBE
Structure: relaxed

Its space group is P4/mmm (123). Its total energy is -25.167 eV for the cell shown. The value obtained for the density of states at the Fermi level is 0.650 states/eV per atom. The value obtained for the calculated formation energy is -0.51 eV per formula unit. The theoretical density comes out at 9224 kg/m³. The crystal system is tetragonal.

Geometry as extended XYZ:
```
4
Lattice="3.947 0.000 0.000 0.000 3.947 0.000 0.000 0.000 3.927" Properties=species:S:1:pos:R:3 pbc="T T T"
Cr 0.000 0.000 0.000
As 1.973 1.973 0.000
Pd 0.000 1.973 1.964
Pd 1.973 0.000 1.964
```


Record 7
Compound: Y3Cl
Source: Alexandria
Functional: GGA-PBE
Structure: relaxed

Its space group is Pm-3m (221). Its total energy is -21.107 eV for the cell shown. The value obtained for the density of states at the Fermi level is 1.728 states/eV per atom. The value obtained for the energy above the most stable polymorph in this dataset is 66.8 kJ/mol of atoms. The formation energy from raw total energies is 33 meV per atom. The theoretical density comes out at 4253 kg/m³. The crystal system is cubic.

Geometry as extended XYZ:
```
4
Lattice="4.905 0.000 0.000 0.000 4.905 0.000 0.000 0.000 4.905" Properties=species:S:1:pos:R:3 pbc="T T T"
Y 0.000 0.000 2.452
Y 0.000 2.452 0.000
Y 2.452 0.000 0.000
Cl 2.452 2.452 2.452
```


Record 8
Compound: Li3In2Ag4Sn2
Source: Alexandria
Functional: GGA-PBE
Structure: relaxed

Its space group is P-3m1 (164). Its total energy is -32.259 eV for the cell shown. The value obtained for the density of states at the Fermi level is 0.507 states/eV per atom. The value obtained for the calculated formation energy is -1.63 eV per formula unit. The theoretical density comes out at 6707 kg/m³. The crystal system is trigonal.

Geometry as extended XYZ:
```
11
Lattice="4.718 0.000 0.000 -2.359 4.086 0.000 0.000 0.000 11.807" Properties=species:S:1:pos:R:3 pbc="T T T"
Li 0.000 0.000 0.000
Li 0.000 0.000 3.090
Li 0.000 0.000 8.717
In 0.000 2.724 6.829
In 2.359 1.362 4.978
Ag 0.000 2.724 3.994
Ag 0.000 2.724 9.733
Ag 2.359 1.362 2.075
Ag 2.359 1.362 7.814
Sn 0.000 2.724 1.168
Sn 2.359 1.362 10.640
```